Computed, not measured: crystalline HfZn8Au6 at its relaxed geometry at the PBE-GGA level of DFT.

a = 7.692 Å, b = 7.692 Å, c = 6.989 Å
α = 56.61°, β = 56.61°, γ = 60.00°
Atoms (fractional coordinates):
Zn 0.441 0.797 0.644
Zn 0.670 0.670 0.989
Zn 0.881 0.559 0.356
Zn 0.330 0.330 0.011
Zn 0.797 0.119 0.644
Zn 0.559 0.203 0.356
Zn 0.203 0.881 0.356
Zn 0.119 0.441 0.644
Hf 0.000 0.000 0.000
Au 0.942 0.289 0.166
Au 0.397 0.058 0.834
Au 0.058 0.711 0.834
Au 0.603 0.942 0.166
Au 0.711 0.397 0.834
Au 0.289 0.603 0.166

Computed properties:
As for the space-group type: R-3. For the formation energy, the calculation gives -0.182 eV/atom.